The following is a PBE-GGA calculation of Ca4DyEr3Te8 after structural relaxation, from the Alexandria database.

Results
Uncorrected formation energy ... -1.4305 eV/atom
Total magnetization ... 0.00 μB per atom
Final energy ... -0.17070 Ha/atom

Cell: 8.878 8.878 8.878 Å, 59.09 59.09 59.09°
Atoms (fractional coordinates):
Ca: 0.000 0.000 0.000
Ca: 0.000 0.500 0.500
Ca: 0.500 0.000 0.500
Ca: 0.500 0.500 0.000
Dy: 0.500 0.500 0.500
Er: 0.000 0.000 0.500
Er: 0.000 0.500 0.000
Er: 0.500 0.000 0.000
Te: 0.246 0.748 0.748
Te: 0.247 0.247 0.247
Te: 0.252 0.252 0.754
Te: 0.252 0.754 0.252
Te: 0.748 0.246 0.748
Te: 0.748 0.748 0.246
Te: 0.753 0.753 0.753
Te: 0.754 0.252 0.252

---

The following is a PBE-GGA calculation of Ca3DyEr2Te6 after structural relaxation, from the Alexandria database.

Results
Uncorrected formation energy ... -1.4327 eV/atom
Total magnetization ... 0.00 μB per atom
Final energy ... -0.17081 Ha/atom

Cell: 7.585 7.585 7.728 Å, 99.44 99.44 119.94°
Atoms (fractional coordinates):
Ca: 0.000 0.000 0.000
Ca: 0.334 0.666 0.000
Ca: 0.666 0.334 0.000
Dy: 0.500 0.500 0.500
Er: 0.167 0.833 0.500
Er: 0.833 0.167 0.500
Te: 0.083 0.419 0.257
Te: 0.245 0.245 0.743
Te: 0.419 0.083 0.257
Te: 0.581 0.917 0.743
Te: 0.755 0.755 0.257
Te: 0.917 0.581 0.743

---

The following is a PBE-GGA calculation of CaDy4ErTe8 after structural relaxation, from the Alexandria database.

Results
Uncorrected formation energy ... -1.3116 eV/atom
Total magnetization ... 0.00 μB per atom
Final energy ... -0.17973 Ha/atom

Cell: 9.078 9.078 9.078 Å, 60.05 60.05 60.05°
Atoms (fractional coordinates):
Ca: 0.000 0.000 0.000
Dy: 0.119 0.627 0.627
Dy: 0.249 0.249 0.249
Dy: 0.627 0.119 0.627
Dy: 0.627 0.627 0.119
Er: 0.627 0.627 0.627
Te: 0.383 0.383 0.383
Te: 0.384 0.384 0.850
Te: 0.384 0.850 0.384
Te: 0.404 0.864 0.864
Te: 0.850 0.384 0.384
Te: 0.864 0.404 0.864
Te: 0.864 0.864 0.404
Te: 0.865 0.865 0.865

---

Q: Which density of states at the Fermi level values were calculated for the entries above? A: 0.37 0.41 0.34, in states/eV/atom.